Crystalline KFeF4 at its relaxed geometry, computed with PBE with a Hubbard U.

a b c (Å): 6.5209 6.5209 7.7518
angles (deg): 90.00 90.00 144.36
Last column: nearest neighbours and their distance in Å.
Fractional positions:
F  0.1499  0.8501  0.0518  1 Fe 1.90
F  0.5000  0.5000  0.5000  2 Fe 2.00
F  0.5000  0.5000  0.0000  2 Fe 2.00
F  0.0396  0.9604  0.7500  2 Fe 2.00
F  0.8501  0.1499  0.9482  1 Fe 1.90
F  0.8501  0.1499  0.5518  1 Fe 1.90
F  0.1499  0.8501  0.4482  1 Fe 1.90
F  0.9604  0.0396  0.2500  2 Fe 2.00
K  0.2702  0.7298  0.7500  7 F 2.71-2.86
K  0.7298  0.2702  0.2500  7 F 2.71-2.86
Fe  0.0000  0.0000  0.5000  6 F 1.90-2.00
Fe  0.0000  0.0000  0.0000  6 F 1.90-2.00

## Properties
The calculation puts the density at 3.0 g cm⁻³. Its space group is Cmcm, No. 63. For the uncorrected energy, the calculation gives -60.3 eV per cell. The density of states at the Fermi level is 0.000 states/eV per atom.